## CsCaP (GGA-PBE)

Data for a relaxed structure of CsCaP.

## Properties
Final energy, eV per formula unit: -10.3
Total magnetic moment, Bohr magnetons per cell: 0.0
Calculated formation energy, eV per atom: -0.680

Unit cell a=8.9838 b=5.1346 c=8.4273 alpha=90.00 beta=90.00 gamma=90.00
Space group Pnma (No. 62)
Symmetry-distinct sites (fractional):
Cs (0.0080, 0.2500, 0.1585) x4
Ca (0.1432, 0.2500, 0.5781) x4
P (0.1806, 0.7500, 0.3919) x4


## CsCaP (GGA-PBE)

Data for a relaxed structure of CsCaP.

## Properties
Final energy, eV per formula unit: -9.9
Total magnetic moment, Bohr magnetons per cell: 0.0
Calculated formation energy, eV per atom: -0.559

Unit cell a=4.8276 b=4.8276 c=5.8854 alpha=90.00 beta=90.00 gamma=120.00
Space group P3m1 (No. 156)
Symmetry-distinct sites (fractional):
Cs (0.0000, 0.0000, 0.0000) x1
Ca (0.6667, 0.3333, 0.5069) x1
P (0.3333, 0.6667, 0.5314) x1


## CsCa2P2 (GGA-PBE)

Data for a relaxed structure of CsCa2P2.

## Properties
Final energy, eV per formula unit: -19.0
Total magnetic moment, Bohr magnetons per cell: 0.0
Calculated formation energy, eV per atom: -0.667

Unit cell a=8.7044 b=8.7044 c=3.4372 alpha=90.00 beta=90.00 gamma=90.00
Space group P4/mbm (No. 127)
Symmetry-distinct sites (fractional):
Cs (0.0000, 0.0000, 0.0000) x2
Ca (0.1320, 0.3680, 0.0000) x4
P (0.1606, 0.6606, 0.5000) x4


Repeat the first record exactly.
## CsCaP (GGA-PBE)

Data for a relaxed structure of CsCaP.

## Properties
Final energy, eV per formula unit: -10.3
Total magnetic moment, Bohr magnetons per cell: 0.0
Calculated formation energy, eV per atom: -0.680

Unit cell a=8.9838 b=5.1346 c=8.4273 alpha=90.00 beta=90.00 gamma=90.00
Space group Pnma (No. 62)
Symmetry-distinct sites (fractional):
Cs (0.0080, 0.2500, 0.1585) x4
Ca (0.1432, 0.2500, 0.5781) x4
P (0.1806, 0.7500, 0.3919) x4


> Which value of total magnetic moment does entry 3 give?

0.0 Bohr magnetons per cell


> The highest calculated formation energy belongs to which entry?

number 2